# 1
LiZn5Ag3: optimized geometry, PBE.

abc: 7.5726 7.5726 7.6915
angles: 119.49 119.49 90.00
Fractional coordinates of all 18 atoms:
1 Ag 0.7500 0.7500 0.5000
2 Zn 0.0000 0.0000 0.0000
3 Zn 0.5000 0.5000 0.0000
4 Zn 0.8386 0.9426 0.2813
5 Li 0.2500 0.7500 0.5000
6 Zn 0.6614 0.1614 0.7187
7 Zn 0.4426 0.3386 0.2813
8 Zn 0.3386 0.8386 0.2813
9 Ag 0.2500 0.2500 0.5000
10 Ag 0.1192 0.3808 0.0000
11 Zn 0.0574 0.5574 0.7187
12 Zn 0.5574 0.6614 0.7187
13 Zn 0.9426 0.4426 0.2813
14 Ag 0.8808 0.6192 0.0000
15 Li 0.7500 0.2500 0.5000
16 Ag 0.3808 0.8808 0.0000
17 Ag 0.6192 0.1192 0.0000
18 Zn 0.1614 0.0574 0.7187

Properties
The calculated formation energy comes out at 0.159 eV per atom. For the energy, the calculation gives -1.712 eV/atom.

***

# 2
NiAs2I: optimized geometry, PBE.

abc: 4.8246 4.8246 4.8246
angles: 60.00 60.00 60.00
Fractional coordinates of all 4 atoms:
1 I 0.5000 0.5000 0.5000
2 Ni 0.0000 0.0000 0.0000
3 As 0.7500 0.7500 0.7500
4 As 0.2500 0.2500 0.2500

Properties
For the energy, the calculation gives -3.281 eV/atom. Its distance to the lowest polymorph of the same formula is 662 meV per atom. The energy relative to the elements, uncorrected is 877 meV per atom.

***

# 3
Mg4Zn3Cu: optimized geometry, PBE.

abc: 4.6216 4.6216 7.9518
angles: 73.11 73.11 60.00
Fractional coordinates of all 8 atoms:
1 Zn 0.7509 0.7509 0.7473
2 Zn 0.2491 0.2491 0.2527
3 Cu 0.0000 0.0000 0.0000
4 Mg 0.6270 0.6270 0.1190
5 Mg 0.3730 0.3730 0.8810
6 Zn 0.5000 0.5000 0.5000
7 Mg 0.1230 0.1230 0.6311
8 Mg 0.8770 0.8770 0.3689

Properties
The calculated formation energy comes out at -0.079 eV per atom. For the energy, the calculation gives -1.866 eV/atom.